The following is a DFT calculation (PBE-GGA) of a relaxed structure of TmMg5In6.

CIF file:
```
data_TmMg5In6
_symmetry_space_group_name_H-M 'C 1 2/m 1'
_symmetry_Int_Tables_number 12
_symmetry_space_group_name_Hall '-C 2y'
_cell_length_a 9.8545
_cell_length_b 14.0091
_cell_length_c 4.6159
_cell_angle_alpha 90.00
_cell_angle_beta 117.28
_cell_angle_gamma 90.00
loop_
_atom_site_label
_atom_site_fract_x
_atom_site_fract_y
_atom_site_fract_z
Tm1 0.0000 0.0000 0.0000
Mg1 0.0000 0.1716 0.5000
Mg2 0.0000 0.3335 0.0000
Mg3 0.0000 0.5000 0.5000
In1 0.2487 0.1686 0.2472
In2 0.2485 0.5000 0.2527
```

Output
total magnetic moment = 0.0 μB/f.u.
calculated volume = 566.36 Å³/cell
DFT formation energy = -0.157 eV per atom
energy = -2.564 eV per atom